DFT (GGA-PBE) results for Li3CaNi8 after structural relaxation.

Values from the calculation:
Total energy in eV/atom: -4.574
DFT formation energy in eV per formula unit: -0.9

Cell lengths 8.355, 8.355, 8.355 Å; angles 33.52, 33.52, 33.52 degrees
Fractional positions:
Li 0.000 0.000 0.000
Li 0.118 0.118 0.118
Li 0.630 0.630 0.630
Ca 0.501 0.501 0.501
Ni 0.058 0.562 0.562
Ni 0.065 0.065 0.568
Ni 0.065 0.568 0.065
Ni 0.314 0.314 0.314
Ni 0.562 0.058 0.562
Ni 0.562 0.562 0.058
Ni 0.568 0.065 0.065
Ni 0.813 0.813 0.813

DFT (GGA-PBE) results for Ca3AcS4 after structural relaxation.

Values from the calculation:
Formation energy (no corrections) in eV per atom: -2.07
Total energy in eV/atom: -5.399

Cell lengths 7.137, 7.137, 4.118 Å; angles 90.00, 90.00, 109.44 degrees
Fractional positions:
Ca 0.000 0.000 0.000
Ca 0.000 0.500 0.500
Ca 0.500 0.000 0.500
Ac 0.500 0.500 0.000
S 0.237 0.237 0.500
S 0.245 0.755 0.000
S 0.755 0.245 0.000
S 0.763 0.763 0.500

DFT (GGA-PBE) results for ThAl4Cu2 after structural relaxation.

Values from the calculation:
Total energy in eV/atom: -4.732
DFT formation energy in eV per formula unit: -2.5

Cell lengths 17.050, 4.158, 6.911 Å; angles 90.00, 90.00, 90.00 degrees
Fractional positions:
Th 0.117 0.250 0.006
Th 0.383 0.750 0.506
Th 0.617 0.250 0.494
Th 0.883 0.750 0.994
Al 0.037 0.750 0.729
Al 0.093 0.250 0.502
Al 0.190 0.750 0.324
Al 0.197 0.750 0.707
Al 0.303 0.250 0.207
Al 0.310 0.250 0.824
Al 0.407 0.750 0.002
Al 0.463 0.250 0.229
Al 0.537 0.750 0.771
Al 0.593 0.250 0.998
Al 0.690 0.750 0.176
Al 0.697 0.750 0.793
Al 0.803 0.250 0.293
Al 0.810 0.250 0.676
Al 0.907 0.750 0.498
Al 0.963 0.250 0.271
Cu 0.040 0.750 0.305
Cu 0.235 0.250 0.519
Cu 0.265 0.750 0.019
Cu 0.460 0.250 0.805
Cu 0.540 0.750 0.195
Cu 0.735 0.250 0.981
Cu 0.765 0.750 0.481
Cu 0.960 0.250 0.695

DFT (GGA-PBE) results for Mg2ZrRh after structural relaxation.

Values from the calculation:
Total energy in eV/atom: -5.045
DFT formation energy in eV per formula unit: -1.1

Cell lengths 5.899, 5.899, 4.773 Å; angles 113.59, 113.59, 30.59 degrees
Fractional positions:
Mg 0.214 0.214 0.215
Mg 0.786 0.786 0.785
Zr 0.000 0.000 0.500
Rh 0.500 0.500 0.000

DFT (GGA-PBE) results for LaGa2Mo after structural relaxation.

Values from the calculation:
Total energy in eV/atom: -5.455
DFT formation energy in eV per formula unit: 0.0

Cell lengths 4.902, 4.902, 4.902 Å; angles 60.00, 60.00, 60.00 degrees
Fractional positions:
La 0.000 0.000 0.000
Ga 0.250 0.250 0.250
Ga 0.750 0.750 0.750
Mo 0.500 0.500 0.500

DFT (GGA-PBE) results for Zr2AgCl2 after structural relaxation.

Values from the calculation:
Formation energy (no corrections) in eV per atom: -0.29
Total energy in eV/atom: -5.020

Cell lengths 7.904, 7.904, 3.030 Å; angles 90.00, 90.00, 90.00 degrees
Fractional positions:
Zr 0.178 0.322 0.000
Zr 0.322 0.822 0.000
Zr 0.678 0.178 0.000
Zr 0.822 0.678 0.000
Ag 0.000 0.000 0.500
Ag 0.500 0.500 0.500
Cl 0.125 0.625 0.500
Cl 0.375 0.125 0.500
Cl 0.625 0.875 0.500
Cl 0.875 0.375 0.500

DFT (GGA-PBE) results for PmCd2Hg after structural relaxation.

Values from the calculation:
Total energy in eV/atom: -2.069
DFT formation energy in eV per formula unit: -1.4

Cell lengths 5.149, 5.149, 5.160 Å; angles 119.92, 119.92, 60.16 degrees
Fractional positions:
Pm 0.000 0.000 0.000
Cd 0.250 0.250 0.749
Cd 0.500 0.500 0.500
Hg 0.750 0.750 0.251

DFT (GGA-PBE) results for CoTeI2N after structural relaxation.

Values from the calculation:
Formation energy (no corrections) in eV per atom: 1.25
Total energy in eV/atom: -3.089

Cell lengths 6.178, 6.178, 3.975 Å; angles 90.00, 90.00, 90.00 degrees
Fractional positions:
Co 0.000 0.000 0.000
Te 0.500 0.500 0.500
I 0.000 0.500 0.500
I 0.500 0.000 0.500
N 0.500 0.500 0.000

DFT (GGA-PBE) results for KIr2Au after structural relaxation.

Values from the calculation:
Total energy in eV/atom: -4.803
DFT formation energy in eV per formula unit: 2.9

Cell lengths 2.752, 4.947, 5.865 Å; angles 90.00, 99.16, 90.00 degrees
Fractional positions:
K 0.000 0.000 0.000
Ir 0.314 0.500 0.690
Ir 0.686 0.500 0.310
Au 0.500 0.000 0.500

DFT (GGA-PBE) results for RbMg2TlBr8 after structural relaxation.

Values from the calculation:
Formation energy (no corrections) in eV per atom: -1.06
Total energy in eV/atom: -2.723

Cell lengths 6.654, 6.950, 8.476 Å; angles 89.83, 89.82, 87.06 degrees
Fractional positions:
Rb 0.000 0.000 0.000
Mg 0.499 0.500 0.252
Mg 0.501 0.500 0.748
Tl 0.000 0.000 0.500
Br 0.265 0.361 0.500
Br 0.274 0.839 0.718
Br 0.276 0.841 0.281
Br 0.294 0.368 0.000
Br 0.706 0.632 0.000
Br 0.724 0.159 0.719
Br 0.726 0.161 0.282
Br 0.735 0.639 0.500

DFT (GGA-PBE) results for Hf2NbMoH after structural relaxation.

Values from the calculation:
Total energy in eV/atom: -8.881

Cell lengths 4.706, 4.706, 3.567 Å; angles 90.00, 90.00, 90.00 degrees
Fractional positions:
Hf 0.000 0.500 0.000
Hf 0.500 0.000 0.000
Nb 0.000 0.000 0.500
Mo 0.500 0.500 0.500
H 0.500 0.500 0.000

DFT (GGA-PBE) results for ErScHg4 after structural relaxation.

Values from the calculation:
Total energy in eV/atom: -2.313
DFT formation energy in eV per formula unit: -1.8

Cell lengths 6.291, 6.291, 6.973 Å; angles 106.08, 106.08, 31.91 degrees
Fractional positions:
Er 0.000 0.000 0.000
Sc 0.000 0.000 0.500
Hg 0.335 0.335 0.175
Hg 0.338 0.338 0.661
Hg 0.662 0.662 0.339
Hg 0.665 0.665 0.825

DFT (GGA-PBE) results for NaTiS2 after structural relaxation.

Values from the calculation:
Formation energy (no corrections) in eV per atom: -1.12
Total energy in eV/atom: -5.484

Cell lengths 3.489, 3.489, 16.377 Å; angles 90.00, 90.00, 120.00 degrees
Fractional positions:
Na 0.333 0.667 0.250
Na 0.667 0.333 0.750
Ti 0.000 0.000 0.000
Ti 0.000 0.000 0.500
S 0.333 0.667 0.087
S 0.333 0.667 0.413
S 0.667 0.333 0.587
S 0.667 0.333 0.913

DFT (GGA-PBE) results for BaSm2Tl3 after structural relaxation.

Values from the calculation:
Total energy in eV/atom: -3.452
DFT formation energy in eV per formula unit: -2.3

Cell lengths 3.954, 3.954, 12.288 Å; angles 90.00, 90.00, 90.00 degrees
Fractional positions:
Ba 0.000 0.000 0.000
Sm 0.000 0.000 0.345
Sm 0.000 0.000 0.655
Tl 0.500 0.500 0.198
Tl 0.500 0.500 0.500
Tl 0.500 0.500 0.802

DFT (GGA-PBE) results for CePrIr2 after structural relaxation.

Values from the calculation:
Total energy in eV/atom: -7.800
DFT formation energy in eV per formula unit: -2.8

Cell lengths 8.479, 5.843, 7.423 Å; angles 90.00, 90.10, 90.00 degrees
Fractional positions:
Ce 0.125 0.149 0.322
Ce 0.125 0.351 0.822
Ce 0.875 0.649 0.178
Ce 0.875 0.851 0.678
Pr 0.376 0.640 0.178
Pr 0.376 0.860 0.678
Pr 0.624 0.140 0.322
Pr 0.624 0.360 0.822
Ir 0.111 0.672 0.444
Ir 0.111 0.828 0.944
Ir 0.358 0.148 0.047
Ir 0.358 0.352 0.547
Ir 0.642 0.648 0.453
Ir 0.642 0.852 0.953
Ir 0.889 0.172 0.056
Ir 0.889 0.328 0.556

DFT (GGA-PBE) results for AcDy3Tl4 after structural relaxation.

Values from the calculation:
Total energy in eV/atom: -3.739
DFT formation energy in eV per formula unit: -2.5

Cell lengths 11.010, 7.759, 5.504 Å; angles 90.00, 90.00, 90.00 degrees
Fractional positions:
Ac 0.000 0.000 0.000
Ac 0.500 0.000 0.000
Dy 0.000 0.500 0.000
Dy 0.250 0.000 0.496
Dy 0.250 0.500 0.494
Dy 0.500 0.500 0.000
Dy 0.750 0.000 0.504
Dy 0.750 0.500 0.506
Tl 0.000 0.267 0.500
Tl 0.000 0.733 0.500
Tl 0.250 0.267 0.994
Tl 0.250 0.733 0.994
Tl 0.500 0.267 0.500
Tl 0.500 0.733 0.500
Tl 0.750 0.267 0.006
Tl 0.750 0.733 0.006

DFT (GGA-PBE) results for CaHoSc2Hg4 after structural relaxation.

Values from the calculation:
Total energy in eV/atom: -3.008
DFT formation energy in eV per formula unit: -3.6

Cell lengths 8.894, 8.894, 8.894 Å; angles 33.52, 33.52, 33.52 degrees
Fractional positions:
Ca 0.000 0.000 0.000
Ho 0.500 0.500 0.500
Sc 0.251 0.251 0.251
Sc 0.749 0.749 0.749
Hg 0.126 0.126 0.126
Hg 0.376 0.376 0.376
Hg 0.624 0.624 0.624
Hg 0.874 0.874 0.874

DFT (GGA-PBE) results for Ca2LaAl after structural relaxation.

Values from the calculation:
Total energy in eV/atom: -3.219
DFT formation energy in eV per formula unit: -0.2

Cell lengths 3.577, 3.577, 10.149 Å; angles 90.00, 90.00, 90.00 degrees
Fractional positions:
Ca 0.000 0.000 0.199
Ca 0.000 0.000 0.801
La 0.500 0.500 0.500
Al 0.500 0.500 0.000

DFT (GGA-PBE) results for TcRh2Cl after structural relaxation.

Values from the calculation:
Formation energy (no corrections) in eV per atom: 0.95
Total energy in eV/atom: -5.777

Cell lengths 3.801, 3.801, 4.139 Å; angles 90.00, 90.00, 90.00 degrees
Fractional positions:
Tc 0.000 0.000 0.000
Rh 0.000 0.500 0.500
Rh 0.500 0.000 0.500
Cl 0.500 0.500 0.000

DFT (GGA-PBE) results for Pr3Nd5Y2 after structural relaxation.

Values from the calculation:
Total energy in eV/atom: -4.944
DFT formation energy in eV per formula unit: 1.7

Cell lengths 9.256, 9.256, 10.244 Å; angles 108.47, 108.47, 107.30 degrees
Fractional positions:
Pr 0.028 0.278 0.058
Pr 0.229 0.771 0.750
Pr 0.278 0.028 0.558
Pr 0.722 0.972 0.442
Pr 0.771 0.229 0.250
Pr 0.972 0.722 0.942
Nd 0.018 0.982 0.750
Nd 0.132 0.380 0.756
Nd 0.269 0.731 0.250
Nd 0.380 0.132 0.256
Nd 0.478 0.522 0.250
Nd 0.522 0.478 0.750
Nd 0.620 0.868 0.744
Nd 0.731 0.269 0.750
Nd 0.868 0.620 0.244
Nd 0.982 0.018 0.250
Y 0.222 0.470 0.445
Y 0.470 0.222 0.945
Y 0.530 0.778 0.055
Y 0.778 0.530 0.555

DFT (GGA-PBE) results for Nd2SCl2 after structural relaxation.

Values from the calculation:
Formation energy (no corrections) in eV per atom: -2.07
Total energy in eV/atom: -5.540

Cell lengths 4.075, 4.075, 10.906 Å; angles 101.92, 101.92, 60.01 degrees
Fractional positions:
Nd 0.220 0.220 0.145
Nd 0.780 0.780 0.855
S 0.500 0.500 0.000
Cl 0.054 0.054 0.694
Cl 0.946 0.946 0.306

DFT (GGA-PBE) results for BeVAs3 after structural relaxation.

Values from the calculation:
Total energy in eV/atom: -4.702
DFT formation energy in eV per formula unit: 3.3

Cell lengths 4.712, 4.712, 4.712 Å; angles 90.00, 90.00, 90.00 degrees
Fractional positions:
Be 0.000 0.000 0.000
V 0.500 0.500 0.500
As 0.000 0.500 0.500
As 0.500 0.000 0.500
As 0.500 0.500 0.000

DFT (GGA-PBE) results for Nd3TiIn3Se8 after structural relaxation.

Values from the calculation:
Formation energy (no corrections) in eV per atom: -1.22
Total energy in eV/atom: -5.110

Cell lengths 9.026, 9.026, 9.026 Å; angles 54.78, 54.78, 54.78 degrees
Fractional positions:
Nd 0.000 0.500 0.500
Nd 0.500 0.000 0.500
Nd 0.500 0.500 0.000
Ti 0.000 0.000 0.000
In 0.000 0.000 0.500
In 0.000 0.500 0.000
In 0.500 0.000 0.000
Se 0.217 0.217 0.770
Se 0.217 0.770 0.217
Se 0.230 0.783 0.783
Se 0.259 0.259 0.259
Se 0.741 0.741 0.741
Se 0.770 0.217 0.217
Se 0.783 0.230 0.783
Se 0.783 0.783 0.230

| no. | total magnetization (μB per formula unit) |
| --- | --- |
| 1 | 1.16 |
| 2 | 0.00 |
| 3 | 0.00 |
| 4 | 0.00 |
| 5 | 2.52 |
| 6 | 0.00 |
| 7 | 0.00 |
| 8 | 2.34 |
| 9 | 0.00 |
| 10 | 0.00 |
| 11 | 0.00 |
| 12 | 0.47 |
| 13 | 0.01 |
| 14 | 0.00 |
| 15 | 0.00 |
| 16 | 0.00 |
| 17 | 0.00 |
| 18 | 0.00 |
| 19 | 0.21 |
| 20 | 0.00 |
| 21 | 0.00 |
| 22 | 0.00 |
| 23 | 0.00 |